Compound: MnNiSe2
Source: the Alexandria database
Functional: PBEsol
Structure: relaxed

For the distance to the lowest polymorph of the same formula, the calculation gives 44.7 meV/atom. As for the electronic total energy: -0.2272 Ha/atom. Its total magnetization is 2.70 μB/cell.

The structure belongs to space group P4mm (No. 99); the cell edges are 3.272, 3.272 and 6.115 Å and the angles 90.00°, 90.00° and 90.00°. Symmetry generates all atoms from Mn at (0.000, 0.000, 0.000), Ni at (0.500, 0.500, 0.234), Se at (0.000, 0.000, 0.379) and Se at (0.500, 0.500, 0.851).